(1)
This record from the Alexandria database describes a relaxed structure of Dy3Ga7Rh2. The functional is GGA-PBE.

Results
* DFT formation energy: -0.690 eV/atom

Cell lengths 4.189, 4.155, 13.553 Å; angles 90.00, 98.79, 90.00 degrees
Space group P2/m (No. 10)
Unique sites:
Dy 0.000 0.000 0.000 (multiplicity 1)
Dy 0.319 0.500 0.640 (multiplicity 2)
Ga 0.081 0.500 0.162 (multiplicity 2)
Ga 0.224 0.000 0.447 (multiplicity 2)
Ga 0.420 0.000 0.838 (multiplicity 2)
Ga 0.500 0.500 0.000 (multiplicity 1)
Rh 0.130 0.000 0.263 (multiplicity 2)


(2)
This record from the Alexandria database describes a relaxed structure of Dy2Ga5Rh4. The functional is GGA-PBE.

Results
* DFT formation energy: -0.709 eV/atom

Cell lengths 5.329, 9.535, 15.741 Å; angles 90.00, 90.00, 90.00 degrees
Space group Fmmm (No. 69)
Unique sites:
Dy 0.000 0.000 0.152 (multiplicity 8)
Ga 0.000 0.000 0.500 (multiplicity 4)
Ga 0.250 0.250 0.000 (multiplicity 8)
Ga 0.250 0.250 0.250 (multiplicity 8)
Rh 0.000 0.157 0.373 (multiplicity 16)


(3)
This record from the Alexandria database describes a relaxed structure of Dy6GaRh3. The functional is GGA-PBE.

Results
* DFT formation energy: -0.621 eV/atom

Cell lengths 10.329, 4.397, 11.831 Å; angles 90.00, 111.60, 90.00 degrees
Space group P2_1/m (No. 11)
Unique sites:
Dy 0.027 0.250 0.389 (multiplicity 2)
Dy 0.086 0.250 0.923 (multiplicity 2)
Dy 0.242 0.750 0.318 (multiplicity 2)
Dy 0.338 0.750 0.801 (multiplicity 2)
Dy 0.369 0.750 0.101 (multiplicity 2)
Dy 0.385 0.250 0.571 (multiplicity 2)
Ga 0.417 0.250 0.292 (multiplicity 2)
Rh 0.106 0.250 0.175 (multiplicity 2)
Rh 0.194 0.750 0.532 (multiplicity 2)
Rh 0.388 0.250 0.958 (multiplicity 2)


(4)
This record from the Alexandria database describes a relaxed structure of Dy3GaRh. The functional is GGA-PBE.

Results
* DFT formation energy: -0.577 eV/atom

Cell lengths 11.354, 4.779, 8.929 Å; angles 90.00, 92.56, 90.00 degrees
Space group C2/m (No. 12)
Unique sites:
Dy 0.103 0.000 0.360 (multiplicity 4)
Dy 0.112 0.500 0.667 (multiplicity 4)
Dy 0.147 0.500 0.083 (multiplicity 4)
Ga 0.082 0.000 0.887 (multiplicity 4)
Rh 0.244 0.500 0.379 (multiplicity 4)


(5)
This record from the Alexandria database describes a relaxed structure of DyGa3Rh2. The functional is GGA-PBE.

Results
* DFT formation energy: -0.740 eV/atom

Cell lengths 9.263, 7.966, 5.696 Å; angles 90.00, 90.00, 90.00 degrees
Space group Cmcm (No. 63)
Unique sites:
Dy 0.000 0.137 0.250 (multiplicity 4)
Ga 0.000 0.490 0.750 (multiplicity 4)
Ga 0.163 0.222 0.750 (multiplicity 8)
Rh 0.225 0.500 0.000 (multiplicity 8)


(6)
This record from the Alexandria database describes a relaxed structure of Dy2GaRh. The functional is GGA-PBE.

Results
* DFT formation energy: -0.735 eV/atom

Cell lengths 3.529, 3.529, 6.920 Å; angles 90.00, 90.00, 90.00 degrees
Space group P4/mmm (No. 123)
Unique sites:
Dy 0.000 0.000 0.236 (multiplicity 2)
Ga 0.500 0.500 0.500 (multiplicity 1)
Rh 0.500 0.500 0.000 (multiplicity 1)


(7)
This record from the Alexandria database describes a relaxed structure of DyGaRh2. The functional is GGA-PBE.

Results
* DFT formation energy: -0.820 eV/atom

Cell lengths 4.360, 4.360, 3.525 Å; angles 90.00, 90.00, 90.00 degrees
Space group P4/mmm (No. 123)
Unique sites:
Dy 0.000 0.000 0.000 (multiplicity 1)
Ga 0.500 0.500 0.000 (multiplicity 1)
Rh 0.000 0.500 0.500 (multiplicity 2)


(8)
This record from the Alexandria database describes a relaxed structure of DyGa12Rh7. The functional is GGA-PBE.

Results
* DFT formation energy: -0.207 eV/atom

Cell lengths 9.135, 9.135, 9.135 Å; angles 90.00, 90.00, 90.00 degrees
Space group Im-3 (No. 204)
Unique sites:
Dy 0.000 0.000 0.000 (multiplicity 2)
Ga 0.000 0.221 0.335 (multiplicity 24)
Rh 0.000 0.000 0.500 (multiplicity 6)
Rh 0.250 0.250 0.250 (multiplicity 8)


(9)
This record from the Alexandria database describes a relaxed structure of DyGaRh2. The functional is GGA-PBE.

Results
* DFT formation energy: -0.752 eV/atom

Cell lengths 3.283, 3.283, 6.291 Å; angles 90.00, 90.00, 90.00 degrees
Space group P4/mmm (No. 123)
Unique sites:
Dy 0.000 0.000 0.000 (multiplicity 1)
Ga 0.000 0.000 0.500 (multiplicity 1)
Rh 0.500 0.500 0.279 (multiplicity 2)


(10)
This record from the Alexandria database describes a relaxed structure of DyGa3Rh3. The functional is GGA-PBE.

Results
* offset from the most stable computed form: 0.500 eV/atom
* DFT formation energy: -0.175 eV/atom

Cell lengths 6.682, 6.682, 6.682 Å; angles 90.00, 90.00, 90.00 degrees
Space group Pm-3n (No. 223)
Unique sites:
Dy 0.000 0.000 0.000 (multiplicity 2)
Ga 0.000 0.250 0.500 (multiplicity 6)
Rh 0.000 0.500 0.250 (multiplicity 6)


(11)
This record from the Alexandria database describes a relaxed structure of DyGa8Rh2. The functional is GGA-PBE.

Results
* DFT formation energy: -0.391 eV/atom

Cell lengths 8.481, 10.310, 4.803 Å; angles 90.00, 101.80, 90.00 degrees
Space group C2/m (No. 12)
Unique sites:
Dy 0.000 0.000 0.000 (multiplicity 2)
Ga 0.000 0.294 0.000 (multiplicity 4)
Ga 0.126 0.500 0.773 (multiplicity 4)
Ga 0.225 0.126 0.612 (multiplicity 8)
Rh 0.000 0.285 0.500 (multiplicity 4)


(12)
This record from the Alexandria database describes a relaxed structure of Dy8GaRh2. The functional is GGA-PBE.

Results
* DFT formation energy: -0.364 eV/atom

Cell lengths 8.552, 13.172, 5.486 Å; angles 90.00, 105.54, 90.00 degrees
Space group Cm (No. 8)
Unique sites:
Dy 0.000 0.000 0.000 (multiplicity 2)
Dy 0.086 0.373 0.775 (multiplicity 4)
Dy 0.179 0.127 0.613 (multiplicity 4)
Dy 0.262 0.500 0.381 (multiplicity 2)
Dy 0.384 0.237 0.191 (multiplicity 4)
Ga 0.383 0.000 0.169 (multiplicity 2)
Rh 0.382 0.304 0.691 (multiplicity 4)


(13)
This record from the Alexandria database describes a relaxed structure of DyGa3Rh2. The functional is GGA-PBE.

Results
* DFT formation energy: -0.724 eV/atom

Cell lengths 16.248, 3.939, 10.245 Å; angles 90.00, 105.40, 90.00 degrees
Space group C2/m (No. 12)
Unique sites:
Dy 0.000 0.000 0.000 (multiplicity 2)
Dy 0.138 0.000 0.706 (multiplicity 4)
Ga 0.000 0.500 0.500 (multiplicity 2)
Ga 0.067 0.000 0.378 (multiplicity 4)
Ga 0.138 0.500 0.930 (multiplicity 4)
Ga 0.139 0.500 0.179 (multiplicity 4)
Ga 0.227 0.000 0.329 (multiplicity 4)
Rh 0.001 0.500 0.755 (multiplicity 4)
Rh 0.170 0.500 0.446 (multiplicity 4)
Rh 0.209 0.000 0.076 (multiplicity 4)


(14)
This record from the Alexandria database describes a relaxed structure of Dy3Ga4Rh2. The functional is GGA-PBE.

Results
* offset from the most stable computed form: 0.042 eV/atom
* DFT formation energy: -0.739 eV/atom

Cell lengths 10.397, 4.310, 8.322 Å; angles 90.00, 103.90, 90.00 degrees
Space group C2/m (No. 12)
Unique sites:
Dy 0.000 0.000 0.000 (multiplicity 2)
Dy 0.123 0.500 0.377 (multiplicity 4)
Ga 0.086 0.000 0.652 (multiplicity 4)
Ga 0.204 0.500 0.066 (multiplicity 4)
Rh 0.200 0.500 0.756 (multiplicity 4)


(15)
This record from the Alexandria database describes a relaxed structure of DyGa12Rh6. The functional is GGA-PBE.

Results
* DFT formation energy: -0.510 eV/atom

Cell lengths 11.3520, 11.3520, 8.6030 Å; angles 90.00, 90.00, 120.00 degrees
Space group R-3m (No. 166, hexagonal axes)
Unique sites:
Dy 0.0000 0.0000 0.0000 (multiplicity 3)
Ga 0.0000 0.3863 0.5000 (multiplicity 18)
Ga 0.0886 0.1772 0.3130 (multiplicity 18)
Rh 0.0496 0.5248 0.2480 (multiplicity 18)


(16)
This record from the Alexandria database describes a relaxed structure of Dy2Ga12Rh. The functional is GGA-PBE.

Results
* DFT formation energy: -0.403 eV/atom

Cell lengths 6.046, 6.046, 15.549 Å; angles 90.00, 90.00, 90.00 degrees
Space group P4/nbm (No. 125, origin choice 2)
Unique sites:
Dy 0.250 0.750 0.240 (multiplicity 4)
Ga 0.000 0.000 0.089 (multiplicity 8)
Ga 0.084 0.584 0.431 (multiplicity 8)
Ga 0.250 0.250 0.191 (multiplicity 4)
Ga 0.250 0.250 0.347 (multiplicity 4)
Rh 0.250 0.750 0.000 (multiplicity 2)


(17)
This record from the Alexandria database describes a relaxed structure of Dy4GaRh4. The functional is GGA-PBE.

Results
* DFT formation energy: -0.712 eV/atom

Cell lengths 8.475, 8.475, 5.506 Å; angles 90.00, 90.00, 90.00 degrees
Space group P4_2/n (No. 86, origin choice 2)
Unique sites:
Dy 0.048 0.818 0.122 (multiplicity 8)
Ga 0.250 0.250 0.250 (multiplicity 2)
Rh 0.002 0.138 0.378 (multiplicity 8)


(18)
This record from the Alexandria database describes a relaxed structure of Dy2Ga9Rh3. The functional is GGA-PBE.

Results
* DFT formation energy: -0.714 eV/atom

Cell lengths 13.064, 7.584, 9.527 Å; angles 90.00, 90.00, 90.00 degrees
Space group Cmcm (No. 63)
Unique sites:
Dy 0.164 0.166 0.250 (multiplicity 8)
Ga 0.000 0.127 0.750 (multiplicity 4)
Ga 0.000 0.333 0.065 (multiplicity 8)
Ga 0.105 0.443 0.750 (multiplicity 8)
Ga 0.167 0.168 0.580 (multiplicity 16)
Rh 0.000 0.000 0.000 (multiplicity 4)
Rh 0.172 0.500 0.000 (multiplicity 8)


(19)
This record from the Alexandria database describes a relaxed structure of Dy3GaRh2. The functional is GGA-PBE.

Results
* DFT formation energy: -0.778 eV/atom

Cell lengths 3.490, 3.490, 10.401 Å; angles 90.00, 90.00, 90.00 degrees
Space group P4/mmm (No. 123)
Unique sites:
Dy 0.000 0.000 0.000 (multiplicity 1)
Dy 0.000 0.000 0.320 (multiplicity 2)
Ga 0.500 0.500 0.500 (multiplicity 1)
Rh 0.500 0.500 0.165 (multiplicity 2)